[1]
{"formula": "LiTaTc2", "functional": "GGA-PBE", "state": "relaxed", "total_magnetization_mub_per_fu": 0.0, "lattice": [[-1.1733, 4.1436, -0.2424], [-1.4521, -0.2800, 2.2419], [3.7239, 1.2570, 3.4620]], "species": ["Tc", "Tc", "Ta", "Li"], "fractional_positions": [[0.0000, 0.9929, 0.0101], [0.0000, 0.5071, 0.4899], [0.5000, 0.7500, 0.7500], [0.5000, 0.2500, 0.2500]]}

***

[2]
{"formula": "LiTa2Tc", "functional": "GGA-PBE", "state": "relaxed", "total_magnetization_mub_per_fu": 0.0, "lattice": [[-2.9335, -4.1818, 4.9263], [6.4290, -2.4340, 1.7622], [2.0006, -1.2922, 5.2059]], "species": ["Ta", "Ta", "Ta", "Ta", "Tc", "Tc", "Li", "Li"], "fractional_positions": [[0.1087, 0.6250, 0.2500], [0.3750, 0.3587, 0.7500], [0.8750, 0.8913, 0.7500], [0.6413, 0.1250, 0.2500], [0.0000, 0.0000, 0.0000], [0.7500, 0.2500, 0.5000], [0.2500, 0.7500, 0.5000], [0.5000, 0.5000, 0.0000]]}

***

no.,energy of formation (kJ per mole of atoms),DFT total energy (eV/atom)
1,9.9,-8.52
2,61.3,-8.36